i | Compound: CrGaIr3
Source: the Alexandria database
Functional: PBE
Structure: optimized geometry

Values from the calculation:
crystal system	cubic

a b c (Å): 4.4996 4.4996 4.4996
angles (deg): 90.00 90.00 90.00
Space group Pm-3m (No. 221)
Unique sites:
Cr 0.0000 0.0000 0.0000 x1
Ga 0.5000 0.5000 0.5000 x1
Ir 0.0000 0.0000 0.5000 x3

---

ii | Compound: CrGaIr3
Source: the Alexandria database
Functional: PBE
Structure: optimized geometry

Values from the calculation:
crystal system	cubic

a b c (Å): 4.4861 4.4861 4.4861
angles (deg): 90.00 90.00 90.00
Space group Pm-3m (No. 221)
Unique sites:
Cr 0.0000 0.0000 0.0000 x1
Ga 0.5000 0.5000 0.5000 x1
Ir 0.0000 0.5000 0.5000 x3

---

Stability summary - winner: i; margin: 388 meV per atom.